[1]
Here is a relaxed TiHW2I crystal from Alexandria. Energies are from GGA-PBE.

Cell: 4.9845 4.9845 3.2940 Å, 90.00 90.00 90.00°
Last column: nearest neighbours and their distance in Å.
Space group P4/mmm (No. 123)
Inequivalent atoms, fractional coordinates:
Ti (0.0000, 0.0000, 0.0000) [1 per cell]  2 H 1.65
H (0.0000, 0.0000, 0.5000) [1 per cell]  2 Ti 1.65
W (0.0000, 0.5000, 0.0000) [2 per cell]  2 Ti 2.49
I (0.5000, 0.5000, 0.5000) [1 per cell]  8 W 2.99, 2 I 3.29

**D(E_F)**: 6.86 states/eV/cell
**Uncorrected energy**: -31.5 eV/cell
**Crystal system**: tetragonal
**Density**: 11.0 g/cm³



[2]
Here is a relaxed TlHI3 crystal from Alexandria. Energies are from GGA-PBE.

Cell: 5.3359 5.3359 5.3359 Å, 90.00 90.00 90.00°
Last column: nearest neighbours and their distance in Å.
Space group Pm-3m (No. 221)
Inequivalent atoms, fractional coordinates:
Tl (0.0000, 0.0000, 0.0000) [1 per cell]  12 I 3.77
H (0.5000, 0.5000, 0.5000) [1 per cell]  6 I 2.67
I (0.0000, 0.5000, 0.5000) [3 per cell]  2 H 2.67

**D(E_F)**: 6.73 states/eV/cell
**Uncorrected energy**: -9.0 eV/cell
**Crystal system**: cubic
**Density**: 6.4 g/cm³



[3]
Here is a relaxed TlH2I3 crystal from Alexandria. Energies are from GGA-PBE.

Cell: 12.0497 9.2614 9.6737 Å, 90.00 125.75 90.00°
Last column: nearest neighbours and their distance in Å.
Space group C2/c (No. 15)
Inequivalent atoms, fractional coordinates:
Tl (0.0000, 0.1031, 0.2500) [4 per cell]  5 I 3.40-3.75
H (0.1389, 0.4260, 0.7885) [8 per cell]  1 I 1.78
I (0.0000, 0.2636, 0.7500) [4 per cell]  2 H 2.11
I (0.2440, 0.4326, 0.3013) [8 per cell]  1 H 1.78

**D(E_F)**: 0.00 states/eV/cell
**Uncorrected energy**: -59.4 eV/cell
**Crystal system**: monoclinic
**Density**: 4.5 g/cm³



[4]
Here is a relaxed TlHI crystal from Alexandria. Energies are from GGA-PBE.

Cell: 4.9810 5.1087 7.9461 Å, 89.73 71.93 89.99°
Last column: nearest neighbours and their distance in Å.
Space group P-1 (No. 2)
Inequivalent atoms, fractional coordinates:
Tl (0.1389, 0.0004, 0.2200) [2 per cell]  1 H 2.11
H (0.0000, 0.0000, 0.5000) [1 per cell]  2 Tl 2.11
H (0.5000, 0.5000, 0.5000) [1 per cell]  2 I 1.91
I (0.3742, 0.5007, 0.7534) [2 per cell]  1 H 1.91

**D(E_F)**: 0.00 states/eV/cell
**Uncorrected energy**: -15.2 eV/cell
**Crystal system**: triclinic
**Density**: 5.7 g/cm³



[5]
Here is a relaxed TlH2I crystal from Alexandria. Energies are from GGA-PBE.

Cell: 6.6767 6.6767 6.6767 Å, 90.00 90.00 90.00°
Last column: nearest neighbours and their distance in Å.
Space group Fm-3m (No. 225)
Inequivalent atoms, fractional coordinates:
Tl (0.0000, 0.0000, 0.0000) [4 per cell]  8 H 2.89
H (0.2500, 0.2500, 0.2500) [8 per cell]  4 Tl 2.89, 4 I 2.89
I (0.0000, 0.0000, 0.5000) [4 per cell]  8 H 2.89

**D(E_F)**: 7.96 states/eV/cell
**Uncorrected energy**: -30.6 eV/cell
**Crystal system**: cubic
**Density**: 7.4 g/cm³



[6]
Here is a relaxed TlHI3 crystal from Alexandria. Energies are from GGA-PBE.

Cell: 6.9171 8.3044 8.9704 Å, 98.30 108.36 110.34°
Last column: nearest neighbours and their distance in Å.
Space group P-1 (No. 2)
Inequivalent atoms, fractional coordinates:
Tl (0.1154, 0.0364, 0.2673) [2 per cell]  4 I 3.15-3.32
H (0.4790, 0.7846, 0.1304) [2 per cell]  1 I 1.72
I (0.0369, 0.3441, 0.4533) [2 per cell]  1 I 2.87, 1 Tl 3.15
I (0.3363, 0.2223, 0.0390) [2 per cell]  1 H 2.28
I (0.3513, 0.7498, 0.2662) [2 per cell]  1 H 1.72

**Uncorrected energy**: -22.6 eV/cell
**Crystal system**: triclinic
**Density**: 4.4 g/cm³